Below is a relaxed structure of CuTeIr3, with properties calculated at the PBE-GGA level.

Geometry as POSCAR:
```
CuTeIr3
1.0
4.5425 0.0000 0.0000
0.0000 4.5425 0.0000
0.0000 0.0000 4.5425
Cu Te Ir
1 1 3
direct
0.0000 0.0000 0.0000
0.5000 0.5000 0.5000
0.0000 0.0000 0.5000
0.0000 0.5000 0.0000
0.5000 0.0000 0.0000
```

Calculated values
Theoretical density   13602 kg/m3
Total magnetization   0.87 μB per formula unit
Energy relative to the elements, uncorrected   1.46 eV per atom
Distance to the lowest polymorph of the same formula   0.00 eV per formula unit